No. 1
# Li9Br3N2

Crystalline Li9Br3N2 at its relaxed geometry (PBE-GGA, Alexandria).

Results
uncorrected energy: -0.128 Ha/atom
space group: No. 167
energy relative to the elements, uncorrected: -0.718 eV/atom

Unit cell a=7.825 b=7.825 c=7.825 alpha=88.84 beta=88.84 gamma=88.84
Fractional positions:
Li (0.050, 0.744, 0.947)
Li (0.053, 0.950, 0.256)
Li (0.129, 0.250, 0.371)
Li (0.244, 0.550, 0.447)
Li (0.250, 0.371, 0.129)
Li (0.256, 0.053, 0.950)
Li (0.371, 0.129, 0.250)
Li (0.447, 0.244, 0.550)
Li (0.450, 0.553, 0.756)
Li (0.550, 0.447, 0.244)
Li (0.553, 0.756, 0.450)
Li (0.629, 0.871, 0.750)
Li (0.744, 0.947, 0.050)
Li (0.750, 0.629, 0.871)
Li (0.756, 0.450, 0.553)
Li (0.871, 0.750, 0.629)
Li (0.947, 0.050, 0.744)
Li (0.950, 0.256, 0.053)
Br (0.074, 0.426, 0.750)
Br (0.250, 0.926, 0.574)
Br (0.426, 0.750, 0.074)
Br (0.574, 0.250, 0.926)
Br (0.750, 0.074, 0.426)
Br (0.926, 0.574, 0.250)
N (0.142, 0.142, 0.142)
N (0.358, 0.358, 0.358)
N (0.642, 0.642, 0.642)
N (0.858, 0.858, 0.858)



No. 2
# LiBrN2

Crystalline LiBrN2 at its relaxed geometry (PBE-GGA, Alexandria).

Results
uncorrected energy: -0.133 Ha/atom
space group: No. 122
energy relative to the elements, uncorrected: 1.445 eV/atom

Unit cell a=4.623 b=4.623 c=10.272 alpha=90.00 beta=90.00 gamma=90.00
Fractional positions:
Li (0.000, 0.000, 0.000)
Li (0.000, 0.500, 0.250)
Li (0.500, 0.000, 0.750)
Li (0.500, 0.500, 0.500)
Br (0.000, 0.000, 0.500)
Br (0.000, 0.500, 0.750)
Br (0.500, 0.000, 0.250)
Br (0.500, 0.500, 0.000)
N (0.230, 0.250, 0.625)
N (0.250, 0.730, 0.875)
N (0.250, 0.770, 0.375)
N (0.270, 0.250, 0.125)
N (0.730, 0.750, 0.125)
N (0.750, 0.230, 0.375)
N (0.750, 0.270, 0.875)
N (0.770, 0.750, 0.625)



No. 3
# LiBr3N

Crystalline LiBr3N at its relaxed geometry (PBE-GGA, Alexandria).

Results
uncorrected energy: -0.109 Ha/atom
space group: No. 12
energy relative to the elements, uncorrected: 0.093 eV/atom

Unit cell a=8.342 b=8.342 c=5.914 alpha=93.33 beta=93.33 gamma=42.25
Fractional positions:
Li (0.076, 0.076, 0.193)
Li (0.924, 0.924, 0.807)
Br (0.080, 0.080, 0.767)
Br (0.251, 0.251, 0.178)
Br (0.390, 0.390, 0.586)
Br (0.610, 0.610, 0.414)
Br (0.749, 0.749, 0.822)
Br (0.920, 0.920, 0.233)
N (0.272, 0.272, 0.494)
N (0.728, 0.728, 0.506)



No. 4
# LiBrN2

Crystalline LiBrN2 at its relaxed geometry (PBE-GGA, Alexandria).

Results
uncorrected energy: -0.131 Ha/atom
space group: No. 166
energy relative to the elements, uncorrected: 1.498 eV/atom

Unit cell a=3.199 b=3.199 c=18.266 alpha=90.00 beta=90.00 gamma=120.00
Fractional positions:
Li (0.000, 0.000, 0.000)
Li (0.333, 0.667, 0.667)
Li (0.667, 0.333, 0.333)
Br (0.000, 0.000, 0.500)
Br (0.333, 0.667, 0.167)
Br (0.667, 0.333, 0.833)
N (0.000, 0.000, 0.103)
N (0.000, 0.000, 0.897)
N (0.333, 0.667, 0.564)
N (0.333, 0.667, 0.770)
N (0.667, 0.333, 0.230)
N (0.667, 0.333, 0.436)



No. 5
# Li6Br3N

Crystalline Li6Br3N at its relaxed geometry (PBE-GGA, Alexandria).

Results
uncorrected energy: -0.129 Ha/atom
space group: No. 69
energy relative to the elements, uncorrected: -1.037 eV/atom

Unit cell a=7.049 b=6.861 c=5.903 alpha=66.55 beta=63.25 gamma=50.20
Fractional positions:
Li (0.055, 0.703, 0.945)
Li (0.219, 0.781, 0.219)
Li (0.297, 0.945, 0.703)
Li (0.703, 0.055, 0.297)
Li (0.781, 0.219, 0.781)
Li (0.945, 0.297, 0.055)
Br (0.250, 0.250, 0.250)
Br (0.500, 0.500, 0.500)
Br (0.750, 0.750, 0.750)
N (0.000, 0.000, 0.000)



No. 6
# Li6BrN2

Crystalline Li6BrN2 at its relaxed geometry (PBE-GGA, Alexandria).

Results
uncorrected energy: -0.138 Ha/atom
space group: No. 12
energy relative to the elements, uncorrected: -0.440 eV/atom

Unit cell a=5.577 b=5.577 c=7.770 alpha=112.45 beta=112.45 gamma=40.80
Fractional positions:
Li (0.006, 0.006, 0.147)
Li (0.300, 0.300, 0.946)
Li (0.321, 0.321, 0.329)
Li (0.679, 0.679, 0.671)
Li (0.700, 0.700, 0.054)
Li (0.994, 0.994, 0.853)
Br (0.000, 0.000, 0.500)
N (0.170, 0.170, 0.088)
N (0.830, 0.830, 0.912)



No. 7
# Li3BrN

Crystalline Li3BrN at its relaxed geometry (PBE-GGA, Alexandria).

Results
uncorrected energy: -0.107 Ha/atom
space group: No. 221
energy relative to the elements, uncorrected: 0.239 eV/atom

Unit cell a=4.599 b=4.599 c=4.599 alpha=90.00 beta=90.00 gamma=90.00
Fractional positions:
Li (0.000, 0.000, 0.500)
Li (0.000, 0.500, 0.000)
Li (0.500, 0.000, 0.000)
Br (0.000, 0.000, 0.000)
N (0.500, 0.500, 0.500)



No. 8
# Li3BrN

Crystalline Li3BrN at its relaxed geometry (PBE-GGA, Alexandria).

Results
uncorrected energy: -0.137 Ha/atom
space group: No. 221
energy relative to the elements, uncorrected: -0.583 eV/atom

Unit cell a=4.078 b=4.078 c=4.078 alpha=90.00 beta=90.00 gamma=90.00
Fractional positions:
Li (0.000, 0.000, 0.500)
Li (0.000, 0.500, 0.000)
Li (0.500, 0.000, 0.000)
Br (0.500, 0.500, 0.500)
N (0.000, 0.000, 0.000)



No. 9
# LiBr3N

Crystalline LiBr3N at its relaxed geometry (PBE-GGA, Alexandria).

Results
uncorrected energy: -0.083 Ha/atom
space group: No. 221
energy relative to the elements, uncorrected: 0.788 eV/atom

Unit cell a=5.216 b=5.216 c=5.216 alpha=90.00 beta=90.00 gamma=90.00
Fractional positions:
Li (0.000, 0.000, 0.000)
Br (0.000, 0.000, 0.500)
Br (0.000, 0.500, 0.000)
Br (0.500, 0.000, 0.000)
N (0.500, 0.500, 0.500)



No. 10
# Li5BrN

Crystalline Li5BrN at its relaxed geometry (PBE-GGA, Alexandria).

Results
uncorrected energy: -0.123 Ha/atom
space group: No. 71
energy relative to the elements, uncorrected: -0.541 eV/atom

Unit cell a=3.941 b=7.494 c=9.194 alpha=90.00 beta=90.00 gamma=90.00
Fractional positions:
Li (0.000, 0.000, 0.000)
Li (0.000, 0.241, 0.500)
Li (0.000, 0.500, 0.289)
Li (0.000, 0.500, 0.711)
Li (0.000, 0.759, 0.500)
Li (0.500, 0.000, 0.211)
Li (0.500, 0.000, 0.789)
Li (0.500, 0.259, 0.000)
Li (0.500, 0.500, 0.500)
Li (0.500, 0.741, 0.000)
Br (0.000, 0.500, 0.000)
Br (0.500, 0.000, 0.500)
N (0.000, 0.500, 0.500)
N (0.500, 0.000, 0.000)



No. 11
# LiBr2N2

Crystalline LiBr2N2 at its relaxed geometry (PBE-GGA, Alexandria).

Results
uncorrected energy: -0.167 Ha/atom
space group: No. 139
energy relative to the elements, uncorrected: -0.160 eV/atom

Unit cell a=5.241 b=5.241 c=8.878 alpha=90.00 beta=90.00 gamma=90.00
Fractional positions:
Li (0.000, 0.000, 0.000)
Li (0.500, 0.500, 0.500)
Br (0.000, 0.500, 0.250)
Br (0.000, 0.500, 0.750)
Br (0.500, 0.000, 0.250)
Br (0.500, 0.000, 0.750)
N (0.000, 0.000, 0.437)
N (0.000, 0.000, 0.563)
N (0.500, 0.500, 0.063)
N (0.500, 0.500, 0.937)



No. 12
# LiBrN2

Crystalline LiBrN2 at its relaxed geometry (PBE-GGA, Alexandria).

Results
uncorrected energy: -0.213 Ha/atom
space group: No. 8
energy relative to the elements, uncorrected: -0.741 eV/atom

Unit cell a=7.441 b=4.302 c=6.549 alpha=90.00 beta=90.81 gamma=90.00
Fractional positions:
Li (0.000, 0.000, 0.000)
Li (0.500, 0.500, 0.000)
Br (0.333, 0.000, 0.951)
Br (0.833, 0.500, 0.951)
N (0.001, 0.000, 0.347)
N (0.498, 0.500, 0.517)
N (0.501, 0.500, 0.347)
N (0.998, 0.000, 0.517)